[1]
AcEuPt4: relaxed, PBE.

abc: 5.5869 5.5869 5.5869
angles: 60.00 60.00 60.00
Closest atoms and distances in Å follow each position.
Fractional coordinates of all 6 atoms:
Ac  0.0000  0.0000  0.0000  12 Pt 3.28, 4 Eu 3.42
Eu  0.2500  0.2500  0.2500  12 Pt 3.27, 4 Ac 3.42
Pt  0.1262  0.6246  0.6246  6 Pt 2.78-2.80
Pt  0.6246  0.1262  0.6246  6 Pt 2.78-2.80
Pt  0.6246  0.6246  0.1262  6 Pt 2.78-2.80
Pt  0.6246  0.6246  0.6246  6 Pt 2.78-2.80

Output
ΔE_f (eV/atom): -1.016
M_tot (μB per formula unit): 6.93
Space group: No. 216
E_tot (eV per atom): -7.441
Crystal system: cubic

=====

[2]
AcEuPt2: relaxed, PBE.

abc: 5.2057 5.2057 3.7069
angles: 90.00 90.00 90.00
Closest atoms and distances in Å follow each position.
Fractional coordinates of all 4 atoms:
Ac  0.0000  0.0000  0.0000  8 Pt 3.20
Eu  0.5000  0.5000  0.0000  8 Pt 3.20
Pt  0.0000  0.5000  0.5000  4 Ac 3.20, 4 Eu 3.20
Pt  0.5000  0.0000  0.5000  4 Ac 3.20, 4 Eu 3.20

Output
ΔE_f (eV/atom): -0.988
M_tot (μB per formula unit): 7.07
Space group: No. 123
Polymorph energy (0 for the lowest one) (meV/atom): 13
E_tot (eV per atom): -7.604
Crystal system: tetragonal

=====

[3]
AcEuPt2: relaxed, PBE.

abc: 5.2158 5.2158 5.2158
angles: 60.00 60.00 60.00
Closest atoms and distances in Å follow each position.
Fractional coordinates of all 4 atoms:
Ac  0.0000  0.0000  0.0000  8 Pt 3.19
Eu  0.5000  0.5000  0.5000  8 Pt 3.19
Pt  0.2500  0.2500  0.2500  4 Ac 3.19, 4 Eu 3.19
Pt  0.7500  0.7500  0.7500  4 Eu 3.19, 4 Ac 3.19

Output
ΔE_f (eV/atom): -1.001
M_tot (μB per formula unit): 7.14
Space group: No. 225
Polymorph energy (0 for the lowest one) (meV/atom): 0
E_tot (eV per atom): -7.617
Crystal system: cubic

=====

[4]
AcEuTlPt: relaxed, PBE.

abc: 5.4705 5.4705 5.4705
angles: 60.00 60.00 60.00
Closest atoms and distances in Å follow each position.
Fractional coordinates of all 4 atoms:
Ac  0.0000  0.0000  0.0000  4 Tl 3.35, 4 Pt 3.35
Eu  0.5000  0.5000  0.5000  4 Tl 3.35, 4 Pt 3.35
Tl  0.7500  0.7500  0.7500  4 Ac 3.35, 4 Eu 3.35
Pt  0.2500  0.2500  0.2500  4 Ac 3.35, 4 Eu 3.35

Output
ΔE_f (eV/atom): -0.583
M_tot (μB per formula unit): 7.10
Space group: No. 216
E_tot (eV per atom): -6.280
Crystal system: cubic

=====

[5]
Ac4EuPu: relaxed, PBE.

abc: 7.2993 7.2993 7.2993
angles: 60.00 60.00 60.00
Closest atoms and distances in Å follow each position.
Fractional coordinates of all 6 atoms:
Ac  0.1255  0.1255  0.1255  6 Ac 3.64-3.66
Ac  0.1255  0.1255  0.6235  6 Ac 3.64-3.66
Ac  0.1255  0.6235  0.1255  6 Ac 3.64-3.66
Ac  0.6235  0.1255  0.1255  6 Ac 3.64-3.66
Eu  0.7500  0.7500  0.7500  12 Ac 4.28, 4 Pu 4.47
Pu  0.5000  0.5000  0.5000  12 Ac 4.28, 4 Eu 4.47

Output
ΔE_f (eV/atom): 0.430
M_tot (μB per formula unit): 13.81
Space group: No. 216
E_tot (eV per atom): -6.410
Crystal system: cubic

=====

[6]
Ac2EuPu: relaxed, PBE.

abc: 6.0541 6.0541 6.0541
angles: 60.00 60.00 60.00
Closest atoms and distances in Å follow each position.
Fractional coordinates of all 4 atoms:
Ac  0.2500  0.2500  0.2500  4 Pu 3.71, 4 Eu 3.71
Ac  0.7500  0.7500  0.7500  4 Pu 3.71, 4 Eu 3.71
Eu  0.0000  0.0000  0.0000  8 Ac 3.71
Pu  0.5000  0.5000  0.5000  8 Ac 3.71

Output
ΔE_f (eV/atom): 0.238
M_tot (μB per formula unit): 14.38
Space group: No. 225
Polymorph energy (0 for the lowest one) (meV/atom): 18
E_tot (eV per atom): -7.968
Crystal system: cubic

=====

[7]
Ac2EuPu: relaxed, PBE.

abc: 5.5275 5.5275 5.1372
angles: 90.00 90.00 90.00
Closest atoms and distances in Å follow each position.
Fractional coordinates of all 4 atoms:
Ac  0.0000  0.5000  0.0000  4 Pu 3.77, 4 Eu 3.77, 4 Ac 3.91
Ac  0.5000  0.0000  0.0000  4 Pu 3.77, 4 Eu 3.77, 4 Ac 3.91
Eu  0.0000  0.0000  0.5000  8 Ac 3.77, 4 Pu 3.91
Pu  0.5000  0.5000  0.5000  8 Ac 3.77, 4 Eu 3.91

Output
ΔE_f (eV/atom): 0.219
M_tot (μB per formula unit): 14.34
Space group: No. 123
Polymorph energy (0 for the lowest one) (meV/atom): 0
E_tot (eV per atom): -7.986
Crystal system: tetragonal

=====

[8]
AcEuPuTl: relaxed, PBE.

abc: 5.6586 5.6586 5.6586
angles: 60.00 60.00 60.00
Closest atoms and distances in Å follow each position.
Fractional coordinates of all 4 atoms:
Ac  0.0000  0.0000  0.0000  4 Pu 3.47, 4 Eu 3.47
Eu  0.2500  0.2500  0.2500  4 Tl 3.47, 4 Ac 3.47
Pu  0.7500  0.7500  0.7500  4 Ac 3.47, 4 Tl 3.47
Tl  0.5000  0.5000  0.5000  4 Pu 3.47, 4 Eu 3.47

Output
ΔE_f (eV/atom): 0.111
M_tot (μB per formula unit): 14.93
Space group: No. 216
E_tot (eV per atom): -7.660
Crystal system: cubic

=====

[9]
RbAcEu: relaxed, PBE.

abc: 4.0730 4.0730 10.9388
angles: 90.00 90.00 120.00
Closest atoms and distances in Å follow each position.
Fractional coordinates of all 3 atoms:
Rb  0.0000  0.0000  0.0000  6 Rb 4.07
Ac  0.3333  0.6667  0.6409  3 Eu 3.88, 6 Ac 4.07
Eu  0.6667  0.3333  0.3590  3 Ac 3.88, 6 Eu 4.07

Output
ΔE_f (eV/atom): 0.183
M_tot (μB per formula unit): 8.06
Space group: No. 156
E_tot (eV per atom): -4.934
Crystal system: trigonal

=====

[10]
RbAcEu2: relaxed, PBE.

abc: 4.0152 4.0152 12.8312
angles: 90.00 90.00 90.00
Closest atoms and distances in Å follow each position.
Fractional coordinates of all 4 atoms:
Rb  0.0000  0.0000  0.0000  4 Rb 4.02
Ac  0.0000  0.0000  0.5000  8 Eu 3.95, 4 Ac 4.02
Eu  0.5000  0.5000  0.2859  4 Ac 3.95, 4 Eu 4.02
Eu  0.5000  0.5000  0.7141  4 Ac 3.95, 4 Eu 4.02

Output
ΔE_f (eV/atom): 0.136
M_tot (μB per formula unit): 15.19
Space group: No. 123
E_tot (eV per atom): -6.270
Crystal system: tetragonal

=====

[11]
Ac3EuRh: relaxed, PBE.

abc: 5.9227 5.9227 5.9227
angles: 90.00 90.00 90.00
Closest atoms and distances in Å follow each position.
Fractional coordinates of all 5 atoms:
Ac  0.0000  0.0000  0.5000  2 Rh 2.96
Ac  0.0000  0.5000  0.0000  2 Rh 2.96
Ac  0.5000  0.0000  0.0000  2 Rh 2.96
Eu  0.5000  0.5000  0.5000  12 Ac 4.19
Rh  0.0000  0.0000  0.0000  6 Ac 2.96

Output
ΔE_f (eV/atom): -0.282
M_tot (μB per formula unit): 7.94
Space group: No. 221
E_tot (eV per atom): -6.272
Crystal system: cubic

=====

[12]
AcEuRh2: relaxed, PBE.

abc: 5.1129 5.1129 5.1129
angles: 60.00 60.00 60.00
Closest atoms and distances in Å follow each position.
Fractional coordinates of all 4 atoms:
Ac  0.0000  0.0000  0.0000  8 Rh 3.13
Eu  0.5000  0.5000  0.5000  8 Rh 3.13
Rh  0.2500  0.2500  0.2500  4 Eu 3.13, 4 Ac 3.13
Rh  0.7500  0.7500  0.7500  4 Eu 3.13, 4 Ac 3.13

Output
ΔE_f (eV/atom): -0.452
M_tot (μB per formula unit): 6.72
Space group: No. 225
Polymorph energy (0 for the lowest one) (meV/atom): 0
E_tot (eV per atom): -7.724
Crystal system: cubic

=====

- Which of these has the highest M_tot?
  RbAcEu2

=====

- What is the formula in the ninth record?
  RbAcEu

=====

Repeat the eleventh record exactly.
Ac3EuRh: relaxed, PBE.

abc: 5.9227 5.9227 5.9227
angles: 90.00 90.00 90.00
Closest atoms and distances in Å follow each position.
Fractional coordinates of all 5 atoms:
Ac  0.0000  0.0000  0.5000  2 Rh 2.96
Ac  0.0000  0.5000  0.0000  2 Rh 2.96
Ac  0.5000  0.0000  0.0000  2 Rh 2.96
Eu  0.5000  0.5000  0.5000  12 Ac 4.19
Rh  0.0000  0.0000  0.0000  6 Ac 2.96

Output
ΔE_f (eV/atom): -0.282
M_tot (μB per formula unit): 7.94
Space group: No. 221
E_tot (eV per atom): -6.272
Crystal system: cubic